Entry w
First-principles (PBEsol) data for an optimized crystal structure of BeCr2Hg, as listed in the Alexandria database.

Cell lengths 2.6770, 2.6770, 25.4858 Å; angles 90.00, 90.00, 120.00 degrees
Last column: nearest neighbours and their distance in Å.
Fractional positions:
Be: 0.0000 0.0000 0.0000  6 Cr 2.43, 6 Be 2.68
Be: 0.3333 0.6667 0.6667  6 Cr 2.43, 6 Be 2.68
Be: 0.6667 0.3333 0.3333  6 Cr 2.43, 6 Be 2.68
Cr: 0.0000 0.0000 0.2597  3 Be 2.43, 6 Cr 2.68
Cr: 0.0000 0.0000 0.7403  3 Be 2.43, 6 Cr 2.68
Cr: 0.3333 0.6667 0.4070  3 Be 2.43, 6 Cr 2.68
Cr: 0.3333 0.6667 0.9264  3 Be 2.43, 6 Cr 2.68
Cr: 0.6667 0.3333 0.0736  3 Be 2.43, 6 Cr 2.68
Cr: 0.6667 0.3333 0.5930  3 Be 2.43, 6 Cr 2.68
Hg: 0.0000 0.0000 0.5000  6 Hg 2.68, 6 Cr 2.83
Hg: 0.3333 0.6667 0.1667  6 Hg 2.68, 6 Cr 2.83
Hg: 0.6667 0.3333 0.8333  6 Hg 2.68, 6 Cr 2.83

## Properties
DOS(E_F): 1.10 states/eV/atom
Space-group type: R-3m

Entry x
First-principles (PBEsol) data for an optimized crystal structure of BeCr2Hg, as listed in the Alexandria database.

Cell lengths 3.0319, 3.0319, 5.5696 Å; angles 90.00, 90.00, 90.00 degrees
Last column: nearest neighbours and their distance in Å.
Fractional positions:
Be: 0.0000 0.0000 0.0000  8 Cr 2.36
Cr: 0.5000 0.5000 0.1768  1 Cr 1.97
Cr: 0.5000 0.5000 0.8232  1 Cr 1.97
Hg: 0.0000 0.0000 0.5000  2 Be 2.78, 8 Cr 2.80, 4 Hg 3.03

## Properties
DOS(E_F): 0.87 states/eV/atom
Space-group type: P4/mmm

Short version: entry w is the least stable of them.

Entry w
First-principles (PBEsol) data for an optimized crystal structure of BeCr2Hg, as listed in the Alexandria database.

Cell lengths 9.0235, 3.0629, 3.8818 Å; angles 90.00, 110.13, 90.00 degrees
Last column: nearest neighbours and their distance in Å.
Fractional positions:
Be: 0.0000 0.0000 0.0000  4 Hg 2.47, 6 Cr 2.54-2.72
Be: 0.5000 0.5000 0.0000  4 Hg 2.47, 6 Cr 2.54-2.72
Cr: 0.2390 0.5000 0.2008  2 Cr 2.24
Cr: 0.2610 0.0000 0.7992  2 Cr 2.24
Cr: 0.7390 0.0000 0.2008  2 Cr 2.24
Cr: 0.7610 0.5000 0.7992  2 Cr 2.24
Hg: 0.0000 0.5000 0.5000  4 Be 2.47, 4 Cr 2.71
Hg: 0.5000 0.0000 0.5000  4 Be 2.47, 4 Cr 2.71

## Properties
DOS(E_F): 0.50 states/eV/atom
Space-group type: C2/m

Entry x
First-principles (PBEsol) data for an optimized crystal structure of BeCr2Hg, as listed in the Alexandria database.

Cell lengths 6.1760, 6.1760, 6.1760 Å; angles 90.00, 90.00, 90.00 degrees
Last column: nearest neighbours and their distance in Å.
Fractional positions:
Be: 0.0000 0.0000 0.0000  8 Cr 2.67
Be: 0.0000 0.5000 0.5000  8 Cr 2.67
Be: 0.5000 0.0000 0.5000  8 Cr 2.67
Be: 0.5000 0.5000 0.0000  8 Cr 2.67
Cr: 0.2500 0.2500 0.2500  4 Hg 2.67, 4 Be 2.67
Cr: 0.2500 0.2500 0.7500  4 Hg 2.67, 4 Be 2.67
Cr: 0.2500 0.7500 0.2500  4 Hg 2.67, 4 Be 2.67
Cr: 0.2500 0.7500 0.7500  4 Hg 2.67, 4 Be 2.67
Cr: 0.7500 0.2500 0.2500  4 Hg 2.67, 4 Be 2.67
Cr: 0.7500 0.2500 0.7500  4 Hg 2.67, 4 Be 2.67
Cr: 0.7500 0.7500 0.2500  4 Hg 2.67, 4 Be 2.67
Cr: 0.7500 0.7500 0.7500  4 Hg 2.67, 4 Be 2.67
Hg: 0.0000 0.0000 0.5000  8 Cr 2.67
Hg: 0.0000 0.5000 0.0000  8 Cr 2.67
Hg: 0.5000 0.0000 0.0000  8 Cr 2.67
Hg: 0.5000 0.5000 0.5000  8 Cr 2.67

## Properties
DOS(E_F): 0.65 states/eV/atom
Space-group type: Fm-3m

Short version: entry x is the least stable of them.

Entry w
First-principles (PBEsol) data for an optimized crystal structure of BeCrTeI2, as listed in the Alexandria database.

Cell lengths 5.3902, 5.3902, 5.1384 Å; angles 90.00, 90.00, 90.00 degrees
Last column: nearest neighbours and their distance in Å.
Fractional positions:
Be: 0.0000 0.0000 0.0000  8 I 3.72, 4 Te 3.81
Cr: 0.5000 0.5000 0.5000  2 Te 2.57, 4 I 2.70
Te: 0.5000 0.5000 0.0000  2 Cr 2.57
I: 0.0000 0.5000 0.5000  2 Cr 2.70
I: 0.5000 0.0000 0.5000  2 Cr 2.70

## Properties
DOS(E_F): 0.78 states/eV/atom
Space-group type: P4/mmm

Entry x
First-principles (PBEsol) data for an optimized crystal structure of BeCrTeI2, as listed in the Alexandria database.

Cell lengths 5.1238, 5.1238, 5.0699 Å; angles 90.00, 90.00, 90.00 degrees
Last column: nearest neighbours and their distance in Å.
Fractional positions:
Be: 0.0000 0.0000 0.0000  2 Te 2.53, 4 I 2.56
Cr: 0.5000 0.5000 0.5000  8 I 3.60, 4 Te 3.62
Te: 0.0000 0.0000 0.5000  2 Be 2.53
I: 0.0000 0.5000 0.0000  2 Be 2.56
I: 0.5000 0.0000 0.0000  2 Be 2.56

## Properties
DOS(E_F): 0.72 states/eV/atom
Space-group type: P4/mmm

Short version: entry w is the least stable of them.